[1]
First-principles (PBE-GGA) data for a relaxed FeRe3S crystal, as listed in Alexandria via LeMat-Bulk.

The structure in POSCAR format:
```
FeRe3S
1.0
-1.373 3.845 -1.727
-4.120 -1.607 -0.302
-0.888 1.511 4.072
Fe Re S
1 3 1
direct
0.000 0.000 0.000
0.000 0.000 0.500
0.500 0.000 0.000
0.000 0.500 0.000
0.500 0.500 0.500
```

Properties
The energy above the most stable polymorph in this dataset is 63.2 kJ per mole of atoms. Its space-group type is Pm-3m, No. 221.



[2]
First-principles (PBE-GGA) data for a relaxed Fe2ReSbS crystal, as listed in Alexandria via LeMat-Bulk.

The structure in POSCAR format:
```
Fe2ReSbS
1.0
4.621 0.000 0.000
0.000 4.953 0.000
0.000 0.000 4.621
Re S Fe Sb
1 1 2 1
direct
0.000 0.500 0.000
0.500 0.500 0.500
0.000 0.000 0.500
0.500 0.000 0.000
0.000 0.000 0.000
```

Properties
Its space-group type is P4/mmm, No. 123.



[3]
First-principles (PBE-GGA) data for a relaxed FeReSb2S crystal, as listed in Alexandria via LeMat-Bulk.

The structure in POSCAR format:
```
FeReSb2S
1.0
5.374 0.000 0.000
0.000 4.333 0.000
0.000 0.000 5.374
Re S Sb Fe
1 1 2 1
direct
0.000 0.000 0.000
0.000 0.500 0.000
0.000 0.000 0.500
0.500 0.000 0.000
0.500 0.500 0.500
```

Properties
Its space-group type is P4/mmm, No. 123.



[4]
First-principles (PBE-GGA) data for a relaxed FeReSb2 crystal, as listed in Alexandria via LeMat-Bulk.

The structure in POSCAR format:
```
FeReSb2
1.0
5.218 -0.349 0.000
2.373 4.661 0.000
-3.795 -2.156 2.881
Re Sb Fe
1 2 1
direct
0.750 0.250 0.500
0.000 0.000 0.000
0.250 0.750 0.500
0.500 0.500 0.000
```

Properties
The energy above the most stable polymorph in this dataset is 49.3 kJ per mole of atoms. Its space-group type is I-4m2, No. 119.



[5]
First-principles (PBE-GGA) data for a relaxed Fe2ReSb crystal, as listed in Alexandria via LeMat-Bulk.

The structure in POSCAR format:
```
Fe2ReSb
1.0
4.367 0.000 0.000
2.183 3.782 0.000
2.183 1.261 3.565
Fe Sb Re
2 1 1
direct
0.250 0.250 0.250
0.000 0.000 0.000
0.750 0.750 0.750
0.500 0.500 0.500
```

Properties
Its space-group type is F-43m, No. 216.



[6]
First-principles (PBE-GGA) data for a relaxed FeRe2Sb crystal, as listed in Alexandria via LeMat-Bulk.

The structure in POSCAR format:
```
FeRe2Sb
1.0
-3.554 3.114 -0.440
-3.699 1.875 2.308
2.054 3.851 1.844
Fe Sb Re
1 1 2
direct
0.250 0.250 0.250
0.750 0.750 0.750
0.517 0.517 0.462
0.983 0.983 0.038
```

Properties
Its space-group type is C2/m, No. 12.



[7]
First-principles (PBE-GGA) data for a relaxed FeRe2Sb crystal, as listed in Alexandria via LeMat-Bulk.

The structure in POSCAR format:
```
FeRe2Sb
1.0
-1.155 0.524 -4.232
3.023 -2.992 -1.196
-2.156 -2.299 0.304
Sb Re Fe
1 2 1
direct
0.500 0.000 0.500
0.000 0.000 0.000
0.500 0.500 0.000
0.000 0.500 0.500
```

Properties
Its space-group type is P4/mmm, No. 123.



[8]
First-principles (PBE-GGA) data for a relaxed FeReSb2 crystal, as listed in Alexandria via LeMat-Bulk.

The structure in POSCAR format:
```
FeReSb2
1.0
3.053 0.000 0.000
0.000 3.053 0.000
0.000 0.000 8.729
Sb Fe Re
2 1 1
direct
0.000 0.000 0.919
0.500 0.500 0.343
0.000 0.000 0.537
0.500 0.500 0.701
```

Properties
The energy above the most stable polymorph in this dataset is 0.0 kJ per mole of atoms. Its space-group type is P4mm, No. 99.



[9]
First-principles (PBE-GGA) data for a relaxed Fe2ReSb crystal, as listed in Alexandria via LeMat-Bulk.

The structure in POSCAR format:
```
Fe2ReSb
1.0
-4.572 -0.129 0.169
-3.657 -1.419 -2.359
-0.727 -4.178 1.869
Re Fe Sb
1 2 1
direct
0.510 0.510 0.452
0.251 0.251 0.253
0.991 0.991 0.024
0.747 0.747 0.771
```

Properties
Its space-group type is Cm, No. 8.



[10]
First-principles (PBE-GGA) data for a relaxed Fe2ReSb crystal, as listed in Alexandria via LeMat-Bulk.

The structure in POSCAR format:
```
Fe2ReSb
1.0
-0.266 -1.040 4.179
-2.103 -1.998 -0.631
3.203 -3.186 -0.589
Fe Sb Re
2 1 1
direct
0.500 0.125 0.274
0.000 0.125 0.982
0.500 0.625 0.804
0.000 0.625 0.440
```

Properties
Its space-group type is Pmm2, No. 25.



[11]
First-principles (PBE-GGA) data for a relaxed FeReSb2 crystal, as listed in Alexandria via LeMat-Bulk.

The structure in POSCAR format:
```
FeReSb2
1.0
-1.062 -2.329 -3.706
2.170 -2.118 -3.331
0.097 -5.010 1.982
Sb Re Fe
2 1 1
direct
0.995 0.995 0.001
0.505 0.505 0.499
0.250 0.250 0.250
0.750 0.750 0.750
```

Properties
The energy above the most stable polymorph in this dataset is 30.8 kJ per mole of atoms. Its space-group type is C2/m, No. 12.



[12]
First-principles (PBE-GGA) data for a relaxed Fe2ReSb crystal, as listed in Alexandria via LeMat-Bulk.

The structure in POSCAR format:
```
Fe2ReSb
1.0
-0.323 0.668 -5.059
4.367 -0.361 -2.634
-3.150 -2.497 3.160
Fe Re Sb
2 1 1
direct
0.997 0.997 0.000
0.503 0.503 0.000
0.750 0.250 0.500
0.250 0.750 0.500
```

Properties
Its space-group type is Immm, No. 71.



[13]
First-principles (PBE-GGA) data for a relaxed FeRe2Sb crystal, as listed in Alexandria via LeMat-Bulk.

The structure in POSCAR format:
```
FeRe2Sb
1.0
5.242 0.014 0.036
2.439 4.639 -0.036
-3.414 -3.031 2.576
Re Fe Sb
2 1 1
direct
0.998 0.998 0.000
0.502 0.502 0.000
0.250 0.750 0.500
0.750 0.250 0.500
```

Properties
Its space-group type is Immm, No. 71.



[14]
First-principles (PBE-GGA) data for a relaxed FeReSb2 crystal, as listed in Alexandria via LeMat-Bulk.

The structure in POSCAR format:
```
FeReSb2
1.0
6.488 0.001 -0.002
4.472 4.700 0.002
-5.183 -3.042 2.444
Sb Re Fe
2 1 1
direct
0.969 0.969 0.000
0.706 0.206 0.500
0.319 0.819 0.500
0.506 0.506 0.000
```

Properties
The energy above the most stable polymorph in this dataset is 21.9 kJ per mole of atoms. Its space-group type is Imm2, No. 44.



[15]
First-principles (PBE-GGA) data for a relaxed FeRe2Sb crystal, as listed in Alexandria via LeMat-Bulk.

The structure in POSCAR format:
```
FeRe2Sb
1.0
3.098 0.000 0.000
0.000 3.098 0.000
0.000 0.000 6.470
Sb Re Fe
1 2 1
direct
0.500 0.500 0.250
0.000 0.000 0.531
0.000 0.000 0.969
0.500 0.500 0.750
```

Properties
Its space-group type is P4/mmm, No. 123.



[16]
First-principles (PBE-GGA) data for a relaxed FeRe2Sb crystal, as listed in Alexandria via LeMat-Bulk.

The structure in POSCAR format:
```
FeRe2Sb
1.0
4.779 0.025 0.000
1.430 4.560 0.000
-3.104 -2.292 2.819
Re Fe Sb
2 1 1
direct
0.000 0.000 0.000
0.250 0.750 0.500
0.750 0.250 0.500
0.500 0.500 0.000
```

Properties
Its space-group type is I-4m2, No. 119.



[17]
First-principles (PBE-GGA) data for a relaxed Fe2ReSb crystal, as listed in Alexandria via LeMat-Bulk.

The structure in POSCAR format:
```
Fe2ReSb
1.0
-2.668 2.557 -2.716
-4.410 0.782 -0.990
-0.868 3.594 2.818
Fe Sb Re
2 1 1
direct
0.993 0.993 0.037
0.507 0.507 0.463
0.750 0.750 0.750
0.250 0.250 0.250
```

Properties
Its space-group type is C2/m, No. 12.



[18]
First-principles (PBE-GGA) data for a relaxed FeRe2Sb crystal, as listed in Alexandria via LeMat-Bulk.

The structure in POSCAR format:
```
FeRe2Sb
1.0
-3.145 0.767 2.074
0.568 -3.205 2.047
3.827 3.523 8.064
Sb Re Fe
2 4 2
direct
0.000 0.000 0.000
0.750 0.250 0.500
0.875 0.824 0.750
0.176 0.625 0.250
0.375 0.426 0.750
0.574 0.125 0.250
0.500 0.500 0.000
0.250 0.750 0.500
```

Properties
Its space-group type is I-42d, No. 122.



[19]
First-principles (PBE-GGA) data for a relaxed FeReSb2 crystal, as listed in Alexandria via LeMat-Bulk.

The structure in POSCAR format:
```
FeReSb2
1.0
4.917 0.000 0.000
0.000 3.213 -0.235
0.000 0.331 4.511
Sb Fe Re
2 1 1
direct
0.500 0.375 0.257
0.000 0.875 0.993
0.000 0.375 0.508
0.500 0.875 0.742
```

Properties
The energy above the most stable polymorph in this dataset is 20.8 kJ per mole of atoms. Its space-group type is Pmm2, No. 25.



[20]
First-principles (PBE-GGA) data for a relaxed FeRe2Sb crystal, as listed in Alexandria via LeMat-Bulk.

The structure in POSCAR format:
```
FeRe2Sb
1.0
8.610 -0.055 -0.032
8.122 2.856 -0.032
8.122 1.360 2.512
Re Fe Sb
2 1 1
direct
0.495 0.495 0.495
0.005 0.005 0.005
0.750 0.750 0.750
0.250 0.250 0.250
```

Properties
Its space-group type is R-3m, No. 166.



[21]
First-principles (PBE-GGA) data for a relaxed FeRe2Sb crystal, as listed in Alexandria via LeMat-Bulk.

The structure in POSCAR format:
```
FeRe2Sb
1.0
-3.537 -3.239 -0.177
-0.937 -4.632 -0.836
0.201 -1.683 4.347
Fe Sb Re
1 1 2
direct
0.258 0.258 0.233
0.500 0.500 0.484
0.741 0.741 0.792
0.001 0.001 0.991
```

Properties
Its space-group type is Cm, No. 8.



[22]
First-principles (PBE-GGA) data for a relaxed Fe2ReSb crystal, as listed in Alexandria via LeMat-Bulk.

The structure in POSCAR format:
```
Fe2ReSb
1.0
-1.456 0.998 2.587
-2.591 -1.531 -0.868
1.878 -4.835 2.921
Fe Sb Re
2 1 1
direct
0.500 0.500 0.234
0.000 0.000 0.022
0.500 0.500 0.766
0.000 0.000 0.477
```

Properties
Its space-group type is P4mm, No. 99.



[23]
First-principles (PBE-GGA) data for a relaxed FeReSb2 crystal, as listed in Alexandria via LeMat-Bulk.

The structure in POSCAR format:
```
FeReSb2
1.0
4.736 0.000 0.000
2.368 4.101 0.000
2.368 1.367 3.867
Fe Re Sb
1 1 2
direct
0.500 0.500 0.500
0.750 0.750 0.750
0.250 0.250 0.250
0.000 0.000 0.000
```

Properties
The energy above the most stable polymorph in this dataset is 63.0 kJ per mole of atoms. Its space-group type is F-43m, No. 216.



[24]
First-principles (PBE-GGA) data for a relaxed FeReSb2 crystal, as listed in Alexandria via LeMat-Bulk.

The structure in POSCAR format:
```
FeReSb2
1.0
-2.218 1.147 -2.120
-1.709 -2.780 0.284
-3.327 2.542 4.857
Re Fe Sb
1 1 2
direct
0.500 0.500 0.750
0.500 0.500 0.250
0.000 0.000 0.005
0.000 0.000 0.495
```

Properties
The energy above the most stable polymorph in this dataset is 22.0 kJ per mole of atoms. Its space-group type is P4/mmm, No. 123.



[25]
First-principles (PBE-GGA) data for a relaxed Fe2ReSb crystal, as listed in Alexandria via LeMat-Bulk.

The structure in POSCAR format:
```
Fe2ReSb
1.0
5.301 0.000 0.000
0.000 5.301 0.000
2.650 2.650 5.759
Fe Re Sb
4 2 2
direct
0.660 0.125 0.250
0.375 0.340 0.750
0.090 0.625 0.250
0.875 0.910 0.750
0.750 0.250 0.500
0.000 0.000 0.000
0.500 0.500 0.000
0.250 0.750 0.500
```

Properties
Its space-group type is I-42d, No. 122.



[26]
First-principles (PBE-GGA) data for a relaxed FeRe2Sb crystal, as listed in Alexandria via LeMat-Bulk.

The structure in POSCAR format:
```
FeRe2Sb
1.0
4.908 -0.002 0.000
1.900 4.525 0.000
-3.404 -2.262 2.718
Sb Fe Re
1 1 2
direct
0.250 0.750 0.500
0.750 0.250 0.500
0.500 0.500 0.000
0.000 0.000 0.000
```

Properties
Its space-group type is I4/mmm, No. 139.



[27]
First-principles (PBE-GGA) data for a relaxed FeRe2Sb crystal, as listed in Alexandria via LeMat-Bulk.

The structure in POSCAR format:
```
FeRe2Sb
1.0
3.906 0.000 0.000
0.000 2.959 -0.023
0.000 3.002 5.442
Re Sb Fe
2 1 1
direct
0.000 0.990 0.009
0.500 0.282 0.218
0.000 0.484 0.515
0.500 0.744 0.757
```

Properties
Its space-group type is Pm, No. 6.



[28]
First-principles (PBE-GGA) data for a relaxed Fe2ReSb crystal, as listed in Alexandria via LeMat-Bulk.

The structure in POSCAR format:
```
Fe2ReSb
1.0
8.374 -0.036 -0.021
7.866 2.874 -0.021
7.866 1.375 2.524
Fe Sb Re
2 1 1
direct
0.252 0.252 0.252
0.993 0.993 0.993
0.747 0.747 0.747
0.508 0.508 0.508
```

Properties
Its space-group type is R3m, No. 160.



[29]
First-principles (PBE-GGA) data for a relaxed FeRe2Sb crystal, as listed in Alexandria via LeMat-Bulk.

The structure in POSCAR format:
```
FeRe2Sb
1.0
8.740 0.003 0.002
8.249 2.888 0.002
8.249 1.404 2.524
Re Sb Fe
2 1 1
direct
0.255 0.255 0.255
0.002 0.002 0.002
0.496 0.496 0.496
0.747 0.747 0.747
```

Properties
Its space-group type is R3m, No. 160.



[30]
First-principles (PBE-GGA) data for a relaxed FeReSb2 crystal, as listed in Alexandria via LeMat-Bulk.

The structure in POSCAR format:
```
FeReSb2
1.0
-1.368 -1.375 -5.713
-3.673 -4.378 1.933
-7.027 0.972 -1.737
Fe Sb Re
2 4 2
direct
0.500 0.500 0.000
0.250 0.750 0.500
0.875 0.876 0.750
0.626 0.125 0.250
0.375 0.374 0.750
0.124 0.625 0.250
0.750 0.250 0.500
0.000 0.000 0.000
```

Properties
The energy above the most stable polymorph in this dataset is 71.5 kJ per mole of atoms. Its space-group type is I-42d, No. 122.



Number 1: formation energy without anion corrections 1.94 eV/atom. Number 2: formation energy without anion corrections 2.23 eV/atom. Number 3: formation energy without anion corrections 0.89 eV/atom. Number 4: formation energy without anion corrections 0.77 eV/atom. Number 5: formation energy without anion corrections 0.34 eV/atom. Number 6: formation energy without anion corrections 0.43 eV/atom. Number 7: formation energy without anion corrections 0.51 eV/atom. Number 8: formation energy without anion corrections 0.26 eV/atom. Number 9: formation energy without anion corrections 0.36 eV/atom. Number 10: formation energy without anion corrections 0.35 eV/atom. Number 11: formation energy without anion corrections 0.58 eV/atom. Number 12: formation energy without anion corrections 0.43 eV/atom. Number 13: formation energy without anion corrections 0.55 eV/atom. Number 14: formation energy without anion corrections 0.48 eV/atom. Number 15: formation energy without anion corrections 0.48 eV/atom. Number 16: formation energy without anion corrections 0.49 eV/atom. Number 17: formation energy without anion corrections 0.44 eV/atom. Number 18: formation energy without anion corrections 0.82 eV/atom. Number 19: formation energy without anion corrections 0.47 eV/atom. Number 20: formation energy without anion corrections 0.61 eV/atom. Number 21: formation energy without anion corrections 0.47 eV/atom. Number 22: formation energy without anion corrections 0.35 eV/atom. Number 23: formation energy without anion corrections 0.91 eV/atom. Number 24: formation energy without anion corrections 0.49 eV/atom. Number 25: formation energy without anion corrections 1.05 eV/atom. Number 26: formation energy without anion corrections 0.55 eV/atom. Number 27: formation energy without anion corrections 0.41 eV/atom. Number 28: formation energy without anion corrections 0.54 eV/atom. Number 29: formation energy without anion corrections 0.46 eV/atom. Number 30: formation energy without anion corrections 1.00 eV/atom.